RbAlSi2 after structural relaxation, computed with PBE.

a = 5.2663 Å, b = 5.2663 Å, c = 16.7084 Å
α = 90.00°, β = 90.00°, γ = 90.00°
Last column: nearest neighbours and their distance in Å.
Space group I4_1/amd (No. 141, origin choice 2)
Asymmetric unit:
Rb  0.0000  0.2500  0.3750 [4 per cell]  8 Si 3.61, 4 Al 3.72
Al  0.0000  0.2500  0.8750 [4 per cell]  4 Si 2.47
Si  0.0000  0.0000  0.0000 [8 per cell]  2 Al 2.47, 2 Si 2.63

- Uncorrected energy: -3.60 eV/atom
- D(E_F): 4.9 states/eV per cell
- Raw formation energy: 285.6 meV/atom